Entry 1:
DFT (GGA-PBE) results for a relaxed structure of DyUP2Rh5.

```
DyUP2Rh5
1.0
3.969 0.000 0.000
0.000 3.969 0.000
0.000 0.000 10.821
Dy U P Rh
1 1 2 5
Direct
0.000 0.000 0.000 Dy
0.500 0.500 0.500 U
0.500 0.500 0.208 P
0.500 0.500 0.792 P
0.000 0.500 0.326 Rh
0.000 0.500 0.674 Rh
0.500 0.000 0.326 Rh
0.500 0.000 0.674 Rh
0.500 0.500 0.000 Rh
```

Computed properties:
Mass density: 9.52 g/cm3
DFT formation energy: -0.540 eV per atom
Volume: 170 Å³/f.u.
Space group: No. 123

Entry 2:
DFT (GGA-PBE) results for a relaxed structure of Ac2HoErS6.

```
Ac2HoErS6
1.0
6.927 0.000 0.000
0.000 7.514 0.000
-6.918 0.000 10.100
Ac Ho Er S
4 2 2 12
Direct
0.220 0.087 0.250 Ac
0.220 0.413 0.750 Ac
0.780 0.587 0.250 Ac
0.780 0.913 0.750 Ac
0.500 0.000 0.000 Ho
0.500 0.500 0.500 Ho
0.000 0.000 0.500 Er
0.000 0.500 0.000 Er
0.121 0.192 0.937 S
0.121 0.308 0.437 S
0.252 0.691 0.937 S
0.252 0.809 0.437 S
0.374 0.042 0.749 S
0.374 0.458 0.249 S
0.626 0.542 0.751 S
0.626 0.958 0.251 S
0.748 0.191 0.563 S
0.748 0.309 0.063 S
0.879 0.692 0.563 S
0.879 0.808 0.063 S
```

Computed properties:
E_form (uncorrected): -2.16 eV per atom
Mass density: 6.18 g/cm3
Volume: 263 Å³/f.u.
Space group: No. 14

Entry 3:
DFT (GGA-PBE) results for a relaxed structure of GeI4N2.

```
GeI4N2
1.0
4.216 0.000 0.000
-2.105 7.380 0.000
-0.010 -3.976 7.264
Ge I N
1 4 2
Direct
0.000 0.000 0.000 Ge
0.150 0.300 0.425 I
0.416 0.831 0.149 I
0.584 0.169 0.851 I
0.850 0.700 0.575 I
0.307 0.614 0.581 N
0.693 0.386 0.419 N
```

Computed properties:
E_form (uncorrected): 0.86 eV per atom
Mass density: 4.47 g/cm3
Volume: 226 Å³/f.u.
Space group: No. 2

Entry 4:
DFT (GGA-PBE) results for a relaxed structure of ZnAg3Ru.

```
ZnAg3Ru
1.0
4.711 0.000 0.000
0.000 4.711 0.000
0.000 0.000 4.711
Zn Ag Ru
1 3 1
Direct
0.000 0.000 0.000 Zn
0.000 0.000 0.500 Ag
0.000 0.500 0.000 Ag
0.500 0.000 0.000 Ag
0.500 0.500 0.500 Ru
```

Computed properties:
Mass density: 7.78 g/cm3
DFT formation energy: 1.111 eV per atom
Volume: 105 Å³/f.u.
Space group: No. 221

Entry 5:
DFT (GGA-PBE) results for a relaxed structure of HgGeHPt2.

```
HgGeHPt2
1.0
4.044 0.000 0.000
0.000 4.044 0.000
0.000 0.000 4.552
Hg Ge H Pt
1 1 1 2
Direct
0.000 0.000 0.000 Hg
0.500 0.500 0.000 Ge
0.500 0.500 0.500 H
0.000 0.500 0.500 Pt
0.500 0.000 0.500 Pt
```

Computed properties:
Mass density: 14.82 g/cm3
Volume: 74 Å³/f.u.
Space group: No. 123
E: -3.92 eV per atom

Entry 6:
DFT (GGA-PBE) results for a relaxed structure of TbDyTlBi.

```
TbDyTlBi
1.0
0.000 3.854 3.854
3.854 0.000 3.854
3.854 3.854 0.000
Tb Dy Tl Bi
1 1 1 1
Direct
0.000 0.000 0.000 Tb
0.500 0.500 0.500 Dy
0.750 0.750 0.750 Tl
0.250 0.250 0.250 Bi
```

Computed properties:
Mass density: 10.66 g/cm3
DFT formation energy: -0.412 eV per atom
Volume: 114 Å³/f.u.
Space group: No. 216

Entry 7:
DFT (GGA-PBE) results for a relaxed structure of LiFeHg2.

```
LiFeHg2
1.0
3.069 0.000 0.000
0.000 3.069 0.000
0.000 0.000 7.603
Li Fe Hg
1 1 2
Direct
0.000 0.000 0.000 Li
0.500 0.500 0.214 Fe
0.000 0.000 0.448 Hg
0.500 0.500 0.779 Hg
```

Computed properties:
Mass density: 10.76 g/cm3
DFT formation energy: 0.216 eV per atom
Volume: 72 Å³/f.u.
Space group: No. 99

Entry 8:
DFT (GGA-PBE) results for a relaxed structure of Sr3Si.

```
Sr3Si
1.0
3.849 0.000 0.000
0.000 3.938 0.000
-0.031 0.000 10.620
Sr Si
3 1
Direct
0.000 0.000 0.000 Sr
0.500 0.500 0.330 Sr
0.500 0.500 0.670 Sr
0.000 0.000 0.500 Si
```

Computed properties:
E_form (uncorrected): -0.10 eV per atom
Mass density: 3.00 g/cm3
Volume: 161 Å³/f.u.
Space group: No. 10